1.
# MgHgTe | the Alexandria database | PBE | optimized geometry
# E_form (uncorrected): -0.393 eV/atom
# symmetry: F-43m, No. 216
# magnetic moment: 0.00 μB per formula unit
data_MgHgTe
_cell_length_a 7.0235
_cell_length_b 7.0235
_cell_length_c 7.0235
_cell_angle_alpha 90.00
_cell_angle_beta 90.00
_cell_angle_gamma 90.00
_symmetry_space_group_name_H-M 'P 1'
_symmetry_Int_Tables_number 1
_symmetry_space_group_name_Hall 'P 1'
loop_
_atom_site_label
_atom_site_fract_x
_atom_site_fract_y
_atom_site_fract_z
Mg1 0.0000 0.0000 0.0000
Mg2 0.0000 0.5000 0.5000
Mg3 0.5000 0.0000 0.5000
Mg4 0.5000 0.5000 0.0000
Hg1 0.2500 0.2500 0.7500
Hg2 0.2500 0.7500 0.2500
Hg3 0.7500 0.2500 0.2500
Hg4 0.7500 0.7500 0.7500
Te1 0.2500 0.2500 0.2500
Te2 0.2500 0.7500 0.7500
Te3 0.7500 0.2500 0.7500
Te4 0.7500 0.7500 0.2500

---

2.
# KMgFe2 | the Alexandria database | PBE | optimized geometry
# Fermi-level density of states: 0.96 states/eV/atom
# symmetry: P4/mmm, No. 123
# magnetic moment: 4.85 μB per formula unit
# energy of formation from the pure elements: 81 kJ/mol of atoms
data_KMgFe2
_cell_length_a 2.8377
_cell_length_b 2.8377
_cell_length_c 9.5526
_cell_angle_alpha 90.00
_cell_angle_beta 90.00
_cell_angle_gamma 90.00
_symmetry_space_group_name_H-M 'P 1'
_symmetry_Int_Tables_number 1
_symmetry_space_group_name_Hall 'P 1'
loop_
_atom_site_label
_atom_site_fract_x
_atom_site_fract_y
_atom_site_fract_z
K1 0.0000 0.0000 0.0000
Mg1 0.0000 0.0000 0.5000
Fe1 0.5000 0.5000 0.3024
Fe2 0.5000 0.5000 0.6976

---

3.
# Tm2Si4Ir3 | the Alexandria database | PBE | optimized geometry
# Fermi-level density of states: 0.45 states/eV/atom
# E_form (uncorrected): -0.747 eV/atom
# symmetry: Fmmm, No. 69
# magnetic moment: 0.00 μB per formula unit
data_Tm2Si4Ir3
_cell_length_a 7.5726
_cell_length_b 6.4983
_cell_length_c 5.4868
_cell_angle_alpha 77.87
_cell_angle_beta 57.03
_cell_angle_gamma 45.10
_symmetry_space_group_name_H-M 'P 1'
_symmetry_Int_Tables_number 1
_symmetry_space_group_name_Hall 'P 1'
loop_
_atom_site_label
_atom_site_fract_x
_atom_site_fract_y
_atom_site_fract_z
Tm1 0.1336 0.1336 0.8664
Tm2 0.8664 0.8664 0.1336
Si1 0.1652 0.5130 0.4870
Si2 0.4870 0.8348 0.1652
Si3 0.5130 0.1652 0.8348
Si4 0.8348 0.4870 0.5130
Ir1 0.0000 0.0000 0.5000
Ir2 0.5000 0.5000 0.0000
Ir3 0.5000 0.5000 0.5000

---

4.
# PmGa2Te4 | the Alexandria database | PBE | optimized geometry
# Fermi-level density of states: 0.50 states/eV/atom
# E_form (uncorrected): -0.494 eV/atom
# symmetry: I4/m, No. 87
# magnetic moment: 0.00 μB per formula unit
data_PmGa2Te4
_cell_length_a 8.2281
_cell_length_b 8.2281
_cell_length_c 6.9165
_cell_angle_alpha 90.00
_cell_angle_beta 90.00
_cell_angle_gamma 90.00
_symmetry_space_group_name_H-M 'P 1'
_symmetry_Int_Tables_number 1
_symmetry_space_group_name_Hall 'P 1'
loop_
_atom_site_label
_atom_site_fract_x
_atom_site_fract_y
_atom_site_fract_z
Pm1 0.0000 0.0000 0.0000
Pm2 0.5000 0.5000 0.5000
Ga1 0.0000 0.5000 0.2500
Ga2 0.0000 0.5000 0.7500
Ga3 0.5000 0.0000 0.2500
Ga4 0.5000 0.0000 0.7500
Te1 0.1692 0.6939 0.5000
Te2 0.1939 0.3308 0.0000
Te3 0.3061 0.1692 0.5000
Te4 0.3308 0.8061 0.0000
Te5 0.6692 0.1939 0.0000
Te6 0.6939 0.8308 0.5000
Te7 0.8061 0.6692 0.0000
Te8 0.8308 0.3061 0.5000

---

5.
# TcHS2N | the Alexandria database | PBE | optimized geometry
# Fermi-level density of states: 0.81 states/eV/atom
# symmetry: P4/mmm, No. 123
# magnetic moment: 0.23 μB per formula unit
# energy: -5.194 eV per atom
data_TcHS2N
_cell_length_a 4.7271
_cell_length_b 4.7271
_cell_length_c 3.7325
_cell_angle_alpha 90.00
_cell_angle_beta 90.00
_cell_angle_gamma 90.00
_symmetry_space_group_name_H-M 'P 1'
_symmetry_Int_Tables_number 1
_symmetry_space_group_name_Hall 'P 1'
loop_
_atom_site_label
_atom_site_fract_x
_atom_site_fract_y
_atom_site_fract_z
Tc1 0.0000 0.0000 0.0000
H1 0.5000 0.5000 0.5000
S1 0.0000 0.5000 0.0000
S2 0.5000 0.0000 0.0000
N1 0.0000 0.0000 0.5000

---

6.
# YBiPb2O6 | the Alexandria database | PBE | optimized geometry
# E_form (uncorrected): -1.624 eV/atom
# symmetry: P2_1/c, No. 14
# magnetic moment: 0.00 μB per formula unit
data_YBiPb2O6
_cell_length_a 5.9777
_cell_length_b 6.1103
_cell_length_c 10.4364
_cell_angle_alpha 90.00
_cell_angle_beta 124.79
_cell_angle_gamma 90.00
_symmetry_space_group_name_H-M 'P 1'
_symmetry_Int_Tables_number 1
_symmetry_space_group_name_Hall 'P 1'
loop_
_atom_site_label
_atom_site_fract_x
_atom_site_fract_y
_atom_site_fract_z
Y1 0.0000 0.0000 0.0000
Y2 0.0000 0.5000 0.5000
Bi1 0.5000 0.0000 0.5000
Bi2 0.5000 0.5000 0.0000
Pb1 0.2454 0.0346 0.7505
Pb2 0.2454 0.4654 0.2505
Pb3 0.7546 0.5346 0.7495
Pb4 0.7546 0.9654 0.2495
O1 0.1634 0.1955 0.4554
O2 0.1634 0.3045 0.9554
O3 0.2659 0.7083 0.4556
O4 0.2659 0.7917 0.9556
O5 0.3487 0.0254 0.2573
O6 0.3487 0.4746 0.7573
O7 0.6513 0.5254 0.2427
O8 0.6513 0.9746 0.7427
O9 0.7341 0.2083 0.0444
O10 0.7341 0.2917 0.5444
O11 0.8366 0.6955 0.0446
O12 0.8366 0.8045 0.5446

---

7.
# CdCo3Cu | the Alexandria database | PBE | optimized geometry
# Fermi-level density of states: 2.01 states/eV/atom
# symmetry: Pm-3m, No. 221
# magnetic moment: 5.19 μB per formula unit
# energy of formation from the pure elements: 182 kJ/mol of atoms
data_CdCo3Cu
_cell_length_a 4.6784
_cell_length_b 4.6784
_cell_length_c 4.6784
_cell_angle_alpha 90.00
_cell_angle_beta 90.00
_cell_angle_gamma 90.00
_symmetry_space_group_name_H-M 'P 1'
_symmetry_Int_Tables_number 1
_symmetry_space_group_name_Hall 'P 1'
loop_
_atom_site_label
_atom_site_fract_x
_atom_site_fract_y
_atom_site_fract_z
Cd1 0.0000 0.0000 0.0000
Co1 0.0000 0.0000 0.5000
Co2 0.0000 0.5000 0.0000
Co3 0.5000 0.0000 0.0000
Cu1 0.5000 0.5000 0.5000

---

8.
# Ce4Pa3Se8 | the Alexandria database | PBE | optimized geometry
# Fermi-level density of states: 2.55 states/eV/atom
# E_form (uncorrected): -1.275 eV/atom
# symmetry: R-3m, No. 166
# magnetic moment: 0.14 μB per formula unit
data_Ce4Pa3Se8
_cell_length_a 9.2995
_cell_length_b 9.2995
_cell_length_c 9.2995
_cell_angle_alpha 49.85
_cell_angle_beta 49.85
_cell_angle_gamma 49.85
_symmetry_space_group_name_H-M 'P 1'
_symmetry_Int_Tables_number 1
_symmetry_space_group_name_Hall 'P 1'
loop_
_atom_site_label
_atom_site_fract_x
_atom_site_fract_y
_atom_site_fract_z
Ce1 0.0000 0.0000 0.0000
Ce2 0.1481 0.1481 0.1481
Ce3 0.5000 0.5000 0.5000
Ce4 0.8519 0.8519 0.8519
Pa1 0.0000 0.5000 0.5000
Pa2 0.5000 0.0000 0.5000
Pa3 0.5000 0.5000 0.0000
Se1 0.2503 0.2503 0.7378
Se2 0.2503 0.7378 0.2503
Se3 0.2623 0.2623 0.2623
Se4 0.2622 0.7497 0.7497
Se5 0.7378 0.2503 0.2503
Se6 0.7377 0.7377 0.7377
Se7 0.7497 0.2622 0.7497
Se8 0.7497 0.7497 0.2622

---

- magnetic moment of number 6 (YBiPb2O6)?
  0.00 μB per formula unit

---

What did the eighth record say?
# Ce4Pa3Se8 | the Alexandria database | PBE | optimized geometry
# Fermi-level density of states: 2.55 states/eV/atom
# E_form (uncorrected): -1.275 eV/atom
# symmetry: R-3m, No. 166
# magnetic moment: 0.14 μB per formula unit
data_Ce4Pa3Se8
_cell_length_a 9.2995
_cell_length_b 9.2995
_cell_length_c 9.2995
_cell_angle_alpha 49.85
_cell_angle_beta 49.85
_cell_angle_gamma 49.85
_symmetry_space_group_name_H-M 'P 1'
_symmetry_Int_Tables_number 1
_symmetry_space_group_name_Hall 'P 1'
loop_
_atom_site_label
_atom_site_fract_x
_atom_site_fract_y
_atom_site_fract_z
Ce1 0.0000 0.0000 0.0000
Ce2 0.1481 0.1481 0.1481
Ce3 0.5000 0.5000 0.5000
Ce4 0.8519 0.8519 0.8519
Pa1 0.0000 0.5000 0.5000
Pa2 0.5000 0.0000 0.5000
Pa3 0.5000 0.5000 0.0000
Se1 0.2503 0.2503 0.7378
Se2 0.2503 0.7378 0.2503
Se3 0.2623 0.2623 0.2623
Se4 0.2622 0.7497 0.7497
Se5 0.7378 0.2503 0.2503
Se6 0.7377 0.7377 0.7377
Se7 0.7497 0.2622 0.7497
Se8 0.7497 0.7497 0.2622